DFT (GGA-PBE) results for SrAs2Br after structural relaxation.

Properties
Space group: Cmmm
Energy, eV per atom: -3.412
Mass density, g cm⁻³: 5.2
E above lowest polymorph, meV/atom: 658
Crystal system: orthorhombic
V, Å³ per atom: 25.34

a b c (Å): 5.705 5.705 3.480
angles (deg): 90.00 90.00 116.48
Positions (direct):
Sr 0.000 0.000 0.000
As 0.000 0.500 0.500
As 0.500 0.000 0.500
Br 0.500 0.500 0.000